Record 1
! CsTlHRhSBr PBE-GGA relaxed; values from VASP
! mass density: 5.64 Mg/m³
! polymorph energy (0 for the lowest one): 0.83 eV/f.u.
! N(E_F): 0.2687 states/eV/atom
&SYSTEM
  ibrav = 0, nat = 6, ntyp = 6
/
ATOMIC_SPECIES
Cs 132.91 Cs.upf
Tl 204.38 Tl.upf
H 1.01 H.upf
Rh 102.91 Rh.upf
S 32.06 S.upf
Br 79.90 Br.upf
CELL_PARAMETERS angstrom
-2.762 -2.434 -4.299
-0.722 -3.126 2.233
-6.106 3.245 2.568
ATOMIC_POSITIONS crystal
Cs 0.491 0.500 0.365
Tl 0.675 0.000 0.866
H 0.157 0.500 0.950
Rh 0.044 0.000 0.638
S 0.180 0.500 0.766
Br 0.982 0.000 0.275


Record 2
! CsTlHRhSBr PBE-GGA relaxed; values from VASP
! mass density: 4.99 Mg/m³
! polymorph energy (0 for the lowest one): 0.50 eV/f.u.
! N(E_F): 0.4141 states/eV/atom
&SYSTEM
  ibrav = 0, nat = 6, ntyp = 6
/
ATOMIC_SPECIES
Cs 132.91 Cs.upf
Tl 204.38 Tl.upf
H 1.01 H.upf
Rh 102.91 Rh.upf
S 32.06 S.upf
Br 79.90 Br.upf
CELL_PARAMETERS angstrom
-4.123 -2.518 1.421
3.965 -0.135 3.132
-3.815 7.611 1.276
ATOMIC_POSITIONS crystal
Cs 0.115 0.770 0.190
Tl 0.582 0.865 0.751
H 0.004 0.501 0.816
Rh 0.124 0.290 0.717
S 0.367 0.264 0.935
Br 0.864 0.285 0.453


Record 3
! CsTlHRhSBr PBE-GGA relaxed; values from VASP
! mass density: 4.86 Mg/m³
! polymorph energy (0 for the lowest one): 0.00 eV/f.u.
! N(E_F): 0.3303 states/eV/atom
&SYSTEM
  ibrav = 0, nat = 6, ntyp = 6
/
ATOMIC_SPECIES
Cs 132.91 Cs.upf
Tl 204.38 Tl.upf
H 1.01 H.upf
Rh 102.91 Rh.upf
S 32.06 S.upf
Br 79.90 Br.upf
CELL_PARAMETERS angstrom
4.428 0.000 -0.001
0.000 5.563 0.000
-0.028 0.000 7.665
ATOMIC_POSITIONS crystal
Cs 0.502 0.000 0.355
Tl 0.005 0.500 0.787
H 0.004 0.000 0.626
Rh 0.005 0.000 0.828
S 0.506 0.000 0.884
Br 0.002 0.500 0.381


Record 4
! CsTlHRhSBr PBE-GGA relaxed; values from VASP
! mass density: 5.11 Mg/m³
! polymorph energy (0 for the lowest one): 0.44 eV/f.u.
! N(E_F): 0.3740 states/eV/atom
&SYSTEM
  ibrav = 0, nat = 6, ntyp = 6
/
ATOMIC_SPECIES
Cs 132.91 Cs.upf
Tl 204.38 Tl.upf
H 1.01 H.upf
Rh 102.91 Rh.upf
S 32.06 S.upf
Br 79.90 Br.upf
CELL_PARAMETERS angstrom
4.044 0.003 0.000
2.004 6.135 0.039
2.013 0.039 7.253
ATOMIC_POSITIONS crystal
Cs 0.338 0.862 0.649
Tl 0.342 0.400 0.100
H 0.897 0.065 0.327
Rh 0.063 0.854 0.203
S 0.576 0.942 0.090
Br 0.003 0.406 0.769


Record 5
! CsTlHRhSBr PBE-GGA relaxed; values from VASP
! mass density: 5.26 Mg/m³
! polymorph energy (0 for the lowest one): 0.30 eV/f.u.
! N(E_F): 0.3504 states/eV/atom
&SYSTEM
  ibrav = 0, nat = 6, ntyp = 6
/
ATOMIC_SPECIES
Cs 132.91 Cs.upf
Tl 204.38 Tl.upf
H 1.01 H.upf
Rh 102.91 Rh.upf
S 32.06 S.upf
Br 79.90 Br.upf
CELL_PARAMETERS angstrom
5.405 0.000 0.016
0.000 4.509 0.000
-0.871 0.000 7.161
ATOMIC_POSITIONS crystal
Cs 0.833 0.500 0.258
Tl 0.395 0.500 0.697
H 0.122 0.000 0.957
Rh 0.903 0.500 0.768
S 0.924 0.000 0.820
Br 0.352 0.000 0.360


Record 6
! CsTlHRhSBr PBE-GGA relaxed; values from VASP
! mass density: 5.73 Mg/m³
! polymorph energy (0 for the lowest one): 0.78 eV/f.u.
! N(E_F): 0.2875 states/eV/atom
&SYSTEM
  ibrav = 0, nat = 12, ntyp = 6
/
ATOMIC_SPECIES
Cs 132.91 Cs.upf
Tl 204.38 Tl.upf
H 1.01 H.upf
Rh 102.91 Rh.upf
S 32.06 S.upf
Br 79.90 Br.upf
CELL_PARAMETERS angstrom
5.723 0.000 0.001
0.000 3.909 0.000
-2.085 0.000 14.338
ATOMIC_POSITIONS crystal
Cs 0.283 0.000 0.181
Cs 0.283 0.500 0.681
Tl 0.530 0.000 0.937
Tl 0.530 0.500 0.437
H 0.011 0.000 0.478
H 0.011 0.500 0.978
Rh 0.865 0.000 0.819
Rh 0.865 0.500 0.319
S 0.020 0.000 0.384
S 0.020 0.500 0.884
Br 0.762 0.000 0.631
Br 0.762 0.500 0.131


Record 7
! CsTlHRhSBr PBE-GGA relaxed; values from VASP
! mass density: 5.66 Mg/m³
! polymorph energy (0 for the lowest one): 0.94 eV/f.u.
! N(E_F): 0.2760 states/eV/atom
&SYSTEM
  ibrav = 0, nat = 12, ntyp = 6
/
ATOMIC_SPECIES
H 1.01 H.upf
Tl 204.38 Tl.upf
S 32.06 S.upf
Br 79.90 Br.upf
Cs 132.91 Cs.upf
Rh 102.91 Rh.upf
CELL_PARAMETERS angstrom
6.572 0.000 0.017
0.000 3.824 0.000
-0.203 0.000 12.918
ATOMIC_POSITIONS crystal
H 0.054 0.000 0.507
H 0.054 0.500 0.007
Tl 0.400 0.000 0.382
Tl 0.400 0.500 0.882
S 0.944 0.000 0.415
S 0.944 0.500 0.915
Br 0.286 0.000 0.664
Br 0.286 0.500 0.164
Cs 0.779 0.000 0.128
Cs 0.779 0.500 0.628
Rh 0.066 0.000 0.836
Rh 0.066 0.500 0.336


Record 8
! CsTlHRhSBr PBE-GGA relaxed; values from VASP
! mass density: 5.29 Mg/m³
! polymorph energy (0 for the lowest one): 0.34 eV/f.u.
! N(E_F): 0.3474 states/eV/atom
&SYSTEM
  ibrav = 0, nat = 6, ntyp = 6
/
ATOMIC_SPECIES
Cs 132.91 Cs.upf
Tl 204.38 Tl.upf
H 1.01 H.upf
Rh 102.91 Rh.upf
S 32.06 S.upf
Br 79.90 Br.upf
CELL_PARAMETERS angstrom
4.523 0.000 -0.001
0.000 5.495 0.001
-2.236 -0.407 6.992
ATOMIC_POSITIONS crystal
Cs 0.970 0.139 0.707
Tl 0.244 0.610 0.264
H 0.634 0.894 0.041
Rh 0.224 0.112 0.224
S 0.703 0.079 0.182
Br 0.478 0.638 0.722


Record 9
! CsTlHRhSBr PBE-GGA relaxed; values from VASP
! mass density: 5.56 Mg/m³
! polymorph energy (0 for the lowest one): 0.69 eV/f.u.
! N(E_F): 0.5293 states/eV/atom
&SYSTEM
  ibrav = 0, nat = 6, ntyp = 6
/
ATOMIC_SPECIES
Cs 132.91 Cs.upf
Tl 204.38 Tl.upf
H 1.01 H.upf
Rh 102.91 Rh.upf
S 32.06 S.upf
Br 79.90 Br.upf
CELL_PARAMETERS angstrom
4.242 0.000 0.000
-0.207 5.588 -0.002
-1.181 -1.697 6.971
ATOMIC_POSITIONS crystal
Cs 0.841 0.059 0.325
Tl 0.364 0.427 0.914
H 0.970 0.636 0.661
Rh 0.271 0.827 0.734
S 0.825 0.998 0.826
Br 0.372 0.582 0.402


Record 10
! Cs2HRuBr6 PBE-GGA relaxed; values from VASP
! mass density: 4.29 Mg/m³
! E: -3.11 eV per atom
! N(E_F): 1.4011 states/eV/atom
&SYSTEM
  ibrav = 0, nat = 10, ntyp = 4
/
ATOMIC_SPECIES
Cs 132.91 Cs.upf
Ru 101.07 Ru.upf
Br 79.90 Br.upf
H 1.01 H.upf
CELL_PARAMETERS angstrom
-7.686 0.611 0.664
0.133 -4.865 6.016
-3.145 2.112 6.754
ATOMIC_POSITIONS crystal
Cs 0.750 0.250 0.500
Cs 0.250 0.750 0.500
Ru 0.000 0.000 0.000
Br 0.230 0.230 0.540
Br 0.770 0.770 0.460
Br 0.230 0.230 0.000
Br 0.770 0.770 0.000
Br 0.770 0.230 0.000
Br 0.230 0.770 0.000
H 0.500 0.500 0.000


Record 11
! Cs2HSBr PBE-GGA relaxed; values from VASP
! mass density: 3.16 Mg/m³
! E: -3.37 eV per atom
! N(E_F): 0.0000 states/eV/atom
&SYSTEM
  ibrav = 0, nat = 10, ntyp = 4
/
ATOMIC_SPECIES
Cs 132.91 Cs.upf
H 1.01 H.upf
S 32.06 S.upf
Br 79.90 Br.upf
CELL_PARAMETERS angstrom
5.389 0.000 0.000
0.000 7.325 0.783
0.000 -2.185 9.841
ATOMIC_POSITIONS crystal
Cs 0.750 0.772 0.624
Cs 0.750 0.742 0.110
Cs 0.250 0.228 0.376
Cs 0.250 0.258 0.890
H 0.250 0.640 0.760
H 0.750 0.360 0.240
S 0.250 0.762 0.871
S 0.750 0.238 0.129
Br 0.250 0.729 0.369
Br 0.750 0.271 0.631


Record 12
! Cs2HSBr6 PBE-GGA relaxed; values from VASP
! mass density: 4.20 Mg/m³
! E: -2.46 eV per atom
! N(E_F): 0.2493 states/eV/atom
&SYSTEM
  ibrav = 0, nat = 10, ntyp = 4
/
ATOMIC_SPECIES
Cs 132.91 Cs.upf
H 1.01 H.upf
S 32.06 S.upf
Br 79.90 Br.upf
CELL_PARAMETERS angstrom
-3.843 4.578 4.021
-4.771 -5.218 1.381
-1.189 -1.905 7.486
ATOMIC_POSITIONS crystal
Cs 0.750 0.250 0.500
Cs 0.250 0.750 0.500
H 0.500 0.500 0.000
S 0.000 0.000 0.000
Br 0.211 0.211 0.578
Br 0.789 0.789 0.422
Br 0.262 0.262 0.000
Br 0.738 0.738 0.000
Br 0.738 0.262 0.000
Br 0.262 0.738 0.000